First-principles (PBE) data for CaSnRh4 after structural relaxation, as listed in the Alexandria database.

Output
The calculation puts the volume at 105 Å³/cell. The space group is F-43m (216). The magnetic moment is 0.0 μB/cell. The value obtained for the density of states at the Fermi level is 6.88 states/eV/cell. The electronic total energy is -6.185 eV/atom.

abc: 5.2934 5.2934 5.2934
angles: 60.00 60.00 60.00
Last column: nearest neighbours and their distance in Å.
Sites, in units of the cell vectors:
Rh 0.6255 0.6255 0.1236  6 Rh 2.64-2.66
Rh 0.1236 0.6255 0.6255  6 Rh 2.64-2.66
Rh 0.6255 0.1236 0.6255  6 Rh 2.64-2.66
Rh 0.6255 0.6255 0.6255  6 Rh 2.64-2.66
Sn 0.0000 0.0000 0.0000  12 Rh 3.10, 4 Ca 3.24
Ca 0.2500 0.2500 0.2500  12 Rh 3.10, 4 Sn 3.24

***

First-principles (PBE) data for Ba2LaCd after structural relaxation, as listed in the Alexandria database.

Output
The calculation puts the volume at 173 Å³/cell. For the energy above the most stable polymorph in this dataset, the calculation gives 97 meV/atom. The space group is Pm (6). The magnetic moment is 0.0 μB/cell. The value obtained for the density of states at the Fermi level is 4.85 states/eV/cell. The electronic total energy is -2.429 eV/atom.

abc: 5.6629 4.2702 7.4764
angles: 73.56 90.00 90.00
Last column: nearest neighbours and their distance in Å.
Sites, in units of the cell vectors:
Ba 0.5000 0.2802 0.3092  3 La 3.77-4.05, 4 Cd 3.80-3.81
Ba 0.0000 0.9667 0.9451  4 La 3.82-3.83, 3 Cd 3.82-3.99, 2 Ba 4.27
La 0.5000 0.5687 0.7439  2 Cd 3.32
Cd 0.0000 0.6844 0.5017  2 La 3.32

***

First-principles (PBE) data for Sm5Er12In2 after structural relaxation, as listed in the Alexandria database.

Output
The calculation puts the volume at 590 Å³/cell. The space group is C2/m (12). The magnetic moment is 0.0 μB/cell. The value obtained for the density of states at the Fermi level is 26.23 states/eV/cell. The electronic total energy is -4.423 eV/atom.

abc: 9.2719 8.9511 8.3120
angles: 91.68 90.00 121.19
Last column: nearest neighbours and their distance in Å.
Sites, in units of the cell vectors:
Sm 0.3053 0.6106 0.9887  2 In 3.41, 8 Er 3.44-3.67, 1 Sm 3.57
Sm 0.0000 0.0000 0.5000  10 Er 3.35-3.68, 2 Sm 3.61
Sm 0.6947 0.3894 0.0113  2 In 3.41, 8 Er 3.44-3.67, 1 Sm 3.57
Sm 0.2333 0.4666 0.5761  8 Er 3.33-3.53, 2 Sm 3.57-3.61
Sm 0.7667 0.5334 0.4239  8 Er 3.33-3.53, 2 Sm 3.57-3.61
Er 0.3292 0.2909 0.2359  1 In 3.18, 4 Er 3.35-3.56, 1 Sm 3.53
Er 0.0382 0.7091 0.7641  1 In 3.18, 4 Er 3.35-3.56, 1 Sm 3.53
Er 0.8198 0.2526 0.6678  5 Er 3.29-3.59, 4 Sm 3.38-3.68, 1 In 3.43
Er 0.9207 0.8415 0.1194  5 Er 3.19-3.53, 3 Sm 3.35-3.55, 2 In 3.38
Er 0.4328 0.2526 0.6678  5 Er 3.29-3.59, 4 Sm 3.38-3.68, 1 In 3.43
Er 0.0793 0.1585 0.8806  5 Er 3.19-3.53, 3 Sm 3.35-3.55, 2 In 3.38
Er 0.1802 0.7474 0.3322  5 Er 3.29-3.59, 4 Sm 3.38-3.68, 1 In 3.43
Er 0.5539 0.1078 0.3257  2 In 3.26, 7 Er 3.29-3.51, 2 Sm 3.33-3.44
Er 0.4461 0.8922 0.6743  2 In 3.26, 7 Er 3.29-3.51, 2 Sm 3.33-3.44
Er 0.6708 0.7091 0.7641  1 In 3.18, 4 Er 3.35-3.56, 1 Sm 3.53
Er 0.5672 0.7474 0.3322  5 Er 3.29-3.59, 4 Sm 3.38-3.68, 1 In 3.43
Er 0.9618 0.2909 0.2359  1 In 3.18, 4 Er 3.35-3.56, 1 Sm 3.53
In 0.3213 0.0000 0.0000  8 Er 3.18-3.43, 1 In 3.31, 2 Sm 3.41
In 0.6787 0.0000 0.0000  8 Er 3.18-3.43, 1 In 3.31, 2 Sm 3.41